# 1
A plane-wave DFT calculation with PBE-GGA was carried out for Na3Mn2N4 after structural relaxation.

Geometry as CIF:
```
data_Na3Mn2N4
_chemical_formula_sum 'Na12 Mn8 N16'
_symmetry_space_group_name_H-M 'C 1 2/c 1'
_symmetry_Int_Tables_number 15
_cell_length_a 10.611
_cell_length_b 8.142
_cell_length_c 5.407
_cell_angle_alpha 90.00
_cell_angle_beta 93.38
_cell_angle_gamma 90.00
loop_
_symmetry_equiv_pos_as_xyz
'x,y,z'
'-x,-y,-z'
'-x,y,-z+1/2'
'x,-y,z+1/2'
'x+1/2,y+1/2,z'
'-x+1/2,-y+1/2,-z'
'-x+1/2,y+1/2,-z+1/2'
'x+1/2,-y+1/2,z+1/2'
loop_
_atom_site_label
_atom_site_type_symbol
_atom_site_fract_x
_atom_site_fract_y
_atom_site_fract_z
Na1 Na 0.000 0.100 0.250
Na2 Na 0.110 0.358 0.543
Mn1 Mn 0.212 0.120 0.929
N1 N 0.128 0.305 0.018
N2 N 0.183 0.049 0.623
```

Summary:
DOS(E_F) ... 16.32 states/eV per cell
VASP energy ... -232.90 eV/cell
E_form (uncorrected) ... -0.292 eV/atom



# 2
A plane-wave DFT calculation with PBE-GGA was carried out for MnAlCl2 after structural relaxation.

Geometry as CIF:
```
data_MnAlCl2
_chemical_formula_sum 'Mn1 Al1 Cl2'
_symmetry_space_group_name_H-M 'P 1 m 1'
_symmetry_Int_Tables_number 6
_cell_length_a 3.303
_cell_length_b 3.161
_cell_length_c 8.612
_cell_angle_alpha 90.00
_cell_angle_beta 90.20
_cell_angle_gamma 90.00
loop_
_symmetry_equiv_pos_as_xyz
'x,y,z'
'x,-y,z'
loop_
_atom_site_label
_atom_site_type_symbol
_atom_site_fract_x
_atom_site_fract_y
_atom_site_fract_z
Mn1 Mn 0.000 0.000 0.000
Al1 Al 0.502 0.500 0.182
Cl1 Cl 0.504 0.000 0.383
Cl2 Cl 0.999 0.500 0.799
```

Summary:
DOS(E_F) ... 1.31 states/eV per cell
VASP energy ... -18.97 eV/cell
E_form (uncorrected) ... -0.592 eV/atom